No. 1
A plane-wave DFT calculation with PBE was carried out for a geometry-optimized Tc2Mo6W3 structure.

a = 4.4508 Å, b = 2.7464 Å, c = 14.4423 Å
α = 97.13°, β = 98.86°, γ = 90.00°
Sites, in units of the cell vectors:
W 0.1812 0.9094 0.3625
W 0.8188 0.0906 0.6375
W 0.0000 0.0000 0.0000
Tc 0.5445 0.7532 0.0890
Tc 0.4555 0.2468 0.9110
Mo 0.2730 0.3629 0.5460
Mo 0.3647 0.8128 0.7295
Mo 0.0902 0.4464 0.1803
Mo 0.9098 0.5536 0.8197
Mo 0.6353 0.1872 0.2705
Mo 0.7270 0.6371 0.4540

Properties
Total DFT energy (no corrections) in eV/atom: -11.2967
Space-group type: C2/m
D(E_F) in states/eV/cell: 9.49

No. 2
A plane-wave DFT calculation with PBE was carried out for a geometry-optimized TcMoW2 structure.

a = 5.2346 Å, b = 5.2234 Å, c = 2.7406 Å
α = 79.81°, β = 80.18°, γ = 117.15°
Sites, in units of the cell vectors:
Mo 0.0000 0.5000 0.5000
Tc 0.5000 0.5000 0.0000
W 0.0000 0.0000 0.0000
W 0.5000 0.0000 0.5000

Properties
Relative energy among the computed polymorphs in meV per atom: 29
Space-group type: C2/m
D(E_F) in states/eV/cell: 3.59

No. 3
A plane-wave DFT calculation with PBE was carried out for a geometry-optimized Tc2Mo3W4 structure.

a = 5.0138 Å, b = 7.7081 Å, c = 7.7081 Å
α = 81.04°, β = 81.85°, γ = 81.85°
Sites, in units of the cell vectors:
Tc 0.0826 0.3582 0.1919
Tc 0.5826 0.1919 0.3582
Tc 0.9174 0.6418 0.8081
Tc 0.4174 0.8081 0.6418
W 0.9219 0.8431 0.4928
W 0.5781 0.5072 0.1569
W 0.4219 0.4928 0.8431
W 0.5288 0.1609 0.6981
W 0.4712 0.8391 0.3019
W 0.9712 0.3019 0.8391
W 0.0781 0.1569 0.5072
W 0.0288 0.6981 0.1609
Mo 0.2500 0.5002 0.4998
Mo 0.7500 0.4998 0.5002
Mo 0.9911 0.9637 0.8351
Mo 0.5089 0.1649 0.0363
Mo 0.0089 0.0363 0.1649
Mo 0.4911 0.8351 0.9637

Properties
Total DFT energy (no corrections) in eV/atom: -11.4644
Space-group type: C2/c
D(E_F) in states/eV/cell: 16.38

No. 4
A plane-wave DFT calculation with PBE was carried out for a geometry-optimized TcMo6W2 structure.

a = 5.0390 Å, b = 4.9218 Å, c = 9.6048 Å
α = 140.26°, β = 98.60°, γ = 89.95°
Sites, in units of the cell vectors:
Mo 0.4993 0.7467 0.0010
Mo 0.3760 0.7944 0.5297
Mo 0.6240 0.2055 0.4703
Mo 0.8606 0.5467 0.3643
Mo 0.1394 0.4533 0.6357
Mo 0.5007 0.2533 0.9990
W 0.9275 0.1790 0.7862
W 0.0725 0.8210 0.2138
Tc 0.0000 0.0000 0.0000

Properties
Total DFT energy (no corrections) in eV/atom: -10.9454
Space-group type: P-1
D(E_F) in states/eV/cell: 5.65

Number 1: total moment 0.00 μB per formula unit. Number 2: total moment 0.00 μB per formula unit. Number 3: total moment 0.00 μB per formula unit. Number 4: total moment 0.00 μB per formula unit.